Below is an optimized crystal structure of SmY2ScTl2, with properties calculated at the PBE level.

It has space group Pmc2_1 (No. 26), with a = 4.9583 Å, b = 9.8099 Å, c = 7.0018 Å, α = 90.00°, β = 90.00° and γ = 90.00°. The distinct sites, in fractional coordinates, are Sm at (0.0000, 0.0515, 0.0000), Y at (0.0000, 0.3113, 0.3955), Y at (0.5000, 0.4479, 0.1009), Sc at (0.5000, 0.1973, 0.7095), Tl at (0.0000, 0.3662, 0.8375) and Tl at (0.5000, 0.1200, 0.2774).

The formation energy comes out at -0.280 eV per atom. As for the spin magnetization: 0.0 μB/cell. As for the density of states at the Fermi level: 1.128 states/eV/atom.



Below is an optimized crystal structure of TaAs2PbSe, with properties calculated at the PBE level.

It has space group P4/mmm (No. 123), with a = 5.2795 Å, b = 5.2795 Å, c = 5.2056 Å, α = 90.00°, β = 90.00° and γ = 90.00°. The distinct sites, in fractional coordinates, are Ta at (0.0000, 0.0000, 0.0000), As at (0.0000, 0.5000, 0.0000), Pb at (0.5000, 0.5000, 0.5000) and Se at (0.0000, 0.0000, 0.5000).

As for the spin magnetization: 0.0 μB/cell. The formation energy (no corrections) is 2.32 kcal/mol of atoms. Its offset from the most stable computed form is 0 meV per atom. As for the density of states at the Fermi level: 0.540 states/eV/atom.



Below is an optimized crystal structure of TmBe13, with properties calculated at the PBE level.

It has space group Fm-3c (No. 226), with a = 10.1349 Å, b = 10.1349 Å, c = 10.1349 Å, α = 90.00°, β = 90.00° and γ = 90.00°. The distinct sites, in fractional coordinates, are Tm at (0.2500, 0.2500, 0.2500), Be at (0.0000, 0.0000, 0.0000) and Be at (0.0000, 0.1140, 0.1770).

The formation energy comes out at -0.197 eV per atom. As for the spin magnetization: 0.0 μB/cell. As for the density of states at the Fermi level: 0.204 states/eV/atom.